No. 1
The following is a PBE-GGA calculation of an optimized crystal structure of GaSnO3, from the Alexandria database.

Lattice parameters (Å, degrees): 3.831 3.831 3.831 90.00 90.00 90.00
Space group Pm-3m (No. 221)
Inequivalent atoms, fractional coordinates:
Ga (0.000, 0.000, 0.000)
Sn (0.500, 0.500, 0.500)
O (0.000, 0.000, 0.500)

Computed properties:
Its crystal system is cubic. Its energy relative to the elements, uncorrected is -1.09 eV/atom. As for the total energy: -5.475 eV/atom. As for the magnetization: 0.00 μB per cell.


No. 2
The following is a PBE-GGA calculation of an optimized crystal structure of Re3NiW, from the Alexandria database.

Lattice parameters (Å, degrees): 4.697 4.697 4.697 90.00 90.00 90.00
Space group Pm-3m (No. 221)
Inequivalent atoms, fractional coordinates:
Re (0.000, 0.000, 0.500)
Ni (0.500, 0.500, 0.500)
W (0.000, 0.000, 0.000)

Computed properties:
Its distance to the lowest polymorph of the same formula is 0.807 eV per atom. Its crystal system is cubic. For the energy of formation from the pure elements, the calculation gives 2.521 eV/atom. As for the total energy: -8.695 eV/atom. As for the magnetization: 0.00 μB per cell.


No. 3
The following is a PBE-GGA calculation of an optimized crystal structure of NbCr2ReMo, from the Alexandria database.

Lattice parameters (Å, degrees): 4.339 4.339 4.705 90.00 90.00 90.00
Space group P4/mmm (No. 123)
Inequivalent atoms, fractional coordinates:
Nb (0.000, 0.000, 0.000)
Cr (0.000, 0.500, 0.000)
Re (0.500, 0.500, 0.500)
Mo (0.000, 0.000, 0.500)

Computed properties:
Its crystal system is tetragonal. For the energy of formation from the pure elements, the calculation gives 2.108 eV/atom. As for the total energy: -8.411 eV/atom. As for the magnetization: 0.00 μB per cell.


No. 4
The following is a PBE-GGA calculation of an optimized crystal structure of HfBiIrO6, from the Alexandria database.

Lattice parameters (Å, degrees): 5.3435 5.3435 10.0323 90.00 90.00 120.00
Space group P-31c (No. 163)
Inequivalent atoms, fractional coordinates:
Hf (0.3333, 0.6667, 0.2500)
Bi (0.0000, 0.0000, 0.0000)
Ir (0.3333, 0.6667, 0.7500)
O (0.0130, 0.3668, 0.6392)

Computed properties:
Its crystal system is trigonal. Its energy relative to the elements, uncorrected is -1.73 eV/atom. As for the total energy: -7.558 eV/atom. As for the magnetization: 3.75 μB per cell.